Entry 1:
## YAs2Au (PBE-GGA)

Data for a relaxed structure of YAs2Au.

Cell lengths 4.035, 4.035, 10.064 Å; angles 90.00, 90.00, 90.00 degrees
Space group P4/nmm (No. 129, origin choice 2)
Inequivalent atoms, fractional coordinates:
Y 0.250 0.250 0.231
As 0.250 0.250 0.695
As 0.250 0.750 0.000
Au 0.250 0.750 0.500

Summary:
For the density, the calculation gives 8.83 Mg/m³. Its total energy is -43.987 eV/cell.

Entry 2:
## YAsAu (PBE-GGA)

Data for a relaxed structure of YAsAu.

Cell lengths 6.727, 6.727, 6.727 Å; angles 90.00, 90.00, 90.00 degrees
Space group F-43m (No. 216)
Inequivalent atoms, fractional coordinates:
Y 0.000 0.000 0.000
As 0.250 0.250 0.750
Au 0.250 0.250 0.250

Summary:
For the density, the calculation gives 7.87 Mg/m³. Its total energy is -65.287 eV/cell.

Entry 3:
## YAsAu2 (PBE-GGA)

Data for a relaxed structure of YAsAu2.

Cell lengths 6.877, 6.877, 6.877 Å; angles 90.00, 90.00, 90.00 degrees
Space group F-43m (No. 216)
Inequivalent atoms, fractional coordinates:
Y 0.000 0.000 0.000
As 0.250 0.250 0.750
Au 0.000 0.000 0.500
Au 0.250 0.250 0.250

Summary:
For the density, the calculation gives 11.39 Mg/m³. Its total energy is -79.745 eV/cell.

Entry 4:
## Y2AsAu (PBE-GGA)

Data for a relaxed structure of Y2AsAu.

Cell lengths 7.168, 7.168, 7.168 Å; angles 90.00, 90.00, 90.00 degrees
Space group F-43m (No. 216)
Inequivalent atoms, fractional coordinates:
Y 0.000 0.000 0.000
Y 0.250 0.250 0.250
As 0.000 0.000 0.500
Au 0.250 0.250 0.750

Summary:
For the density, the calculation gives 8.11 Mg/m³. Its total energy is -86.235 eV/cell.

Entry 5:
## ZnAs2Au2 (PBE-GGA)

Data for a relaxed structure of ZnAs2Au2.

Cell lengths 4.228, 4.228, 11.770 Å; angles 90.00, 90.00, 90.00 degrees
Space group I4/mmm (No. 139)
Inequivalent atoms, fractional coordinates:
Zn 0.000 0.000 0.000
As 0.000 0.000 0.391
Au 0.000 0.500 0.250

Summary:
For the density, the calculation gives 9.61 Mg/m³. As for the distance to the lowest polymorph of the same formula: 0.053 eV per atom.

Entry 6:
## ZnAs2Au (PBE-GGA)

Data for a relaxed structure of ZnAs2Au.

Cell lengths 6.664, 6.664, 6.664 Å; angles 90.00, 90.00, 90.00 degrees
Space group F-43m (No. 216)
Inequivalent atoms, fractional coordinates:
Zn 0.000 0.000 0.000
As 0.000 0.000 0.500
As 0.250 0.250 0.250
Au 0.250 0.250 0.750

Summary:
For the density, the calculation gives 9.25 Mg/m³. Its total energy is -50.917 eV/cell.

Entry 7:
## ZnAs2Au2 (PBE-GGA)

Data for a relaxed structure of ZnAs2Au2.

Cell lengths 3.755, 3.755, 14.052 Å; angles 90.00, 90.00, 90.00 degrees
Space group I4/mmm (No. 139)
Inequivalent atoms, fractional coordinates:
Zn 0.000 0.000 0.000
As 0.000 0.500 0.250
Au 0.000 0.000 0.406

Summary:
For the density, the calculation gives 10.21 Mg/m³. As for the distance to the lowest polymorph of the same formula: 0.000 eV per atom.

Entry 8:
## ZrAsAu2 (PBE-GGA)

Data for a relaxed structure of ZrAsAu2.

Cell lengths 6.685, 6.685, 6.685 Å; angles 90.00, 90.00, 90.00 degrees
Space group F-43m (No. 216)
Inequivalent atoms, fractional coordinates:
Zr 0.000 0.000 0.000
As 0.250 0.250 0.750
Au 0.000 0.000 0.500
Au 0.250 0.250 0.250

Summary:
For the density, the calculation gives 12.45 Mg/m³. Its total energy is -83.844 eV/cell.